This record from Alexandria via LeMat-Bulk describes a relaxed structure of Li7GaCu3. The functional is GGA-PBE.

Calculated values
Total energy = -2.598 eV/atom
V = 168.1 Å³ per cell
Energy relative to the lowest polymorph listed for this composition = 0.59 eV/f.u.

a b c (Å): 6.523 5.455 5.455
angles (deg): 120.00 90.00 90.00
Sites, in units of the cell vectors:
Li: 0.095 0.168 0.832
Li: 0.095 0.168 0.335
Li: 0.103 0.667 0.333
Li: 0.475 0.836 0.164
Li: 0.475 0.328 0.164
Li: 0.475 0.836 0.672
Li: 0.095 0.665 0.832
Ga: 0.462 0.333 0.667
Cu: 0.780 0.501 0.499
Cu: 0.780 0.501 0.003
Cu: 0.780 0.997 0.499

This record from Alexandria via LeMat-Bulk describes a relaxed structure of La3PrP4. The functional is GGA-PBE.

Calculated values
Total energy = -6.711 eV/atom
V = 218.5 Å³ per cell

a b c (Å): 4.261 7.374 7.374
angles (deg): 109.44 90.00 90.00
Sites, in units of the cell vectors:
La: 0.000 0.000 0.500
La: 0.500 0.500 0.500
La: 0.000 0.500 0.000
Pr: 0.500 0.000 0.000
P: 0.000 0.249 0.249
P: 0.500 0.751 0.249
P: 0.000 0.751 0.751
P: 0.500 0.249 0.751

no.,energy of formation from the pure elements (eV per atom),M_tot (μB per cell)
1,0.012,0.0
2,-1.561,0.0